No. 1
BaMnZn2: relaxed, GGA-PBE.

a = 3.444 Å, b = 4.171 Å, c = 6.733 Å
α = 90.00°, β = 90.10°, γ = 90.00°
Space group Pm (No. 6)
Unique sites:
Ba: 0.000 0.000 0.000 (multiplicity 1)
Mn: 0.002 0.500 0.579 (multiplicity 1)
Zn: 0.501 0.000 0.537 (multiplicity 1)
Zn: 0.501 0.500 0.295 (multiplicity 1)

Calculated values
DOS at the Fermi energy = 2.56 states/eV/f.u.
Electronic total energy = -0.1184 Ha/atom


No. 2
BaMnZn2: relaxed, GGA-PBE.

a = 5.070 Å, b = 5.070 Å, c = 17.858 Å
α = 90.00°, β = 90.00°, γ = 90.00°
Space group I4_1/amd (No. 141, origin choice 2)
Unique sites:
Ba: 0.000 0.250 0.375 (multiplicity 4)
Mn: 0.000 0.250 0.875 (multiplicity 4)
Zn: 0.000 0.000 0.000 (multiplicity 8)

Calculated values
DOS at the Fermi energy = 4.44 states/eV/f.u.
Electronic total energy = -0.1163 Ha/atom


No. 3
BaMnZn2: relaxed, GGA-PBE.

a = 4.907 Å, b = 4.907 Å, c = 4.334 Å
α = 90.00°, β = 90.00°, γ = 90.00°
Space group P4/mmm (No. 123)
Unique sites:
Ba: 0.000 0.000 0.000 (multiplicity 1)
Mn: 0.500 0.500 0.000 (multiplicity 1)
Zn: 0.000 0.500 0.500 (multiplicity 2)

Calculated values
DOS at the Fermi energy = 2.82 states/eV/f.u.
Electronic total energy = -0.1099 Ha/atom


No. 4
BaMnZn2: relaxed, GGA-PBE.

a = 4.740 Å, b = 5.830 Å, c = 7.427 Å
α = 90.00°, β = 90.00°, γ = 90.00°
Space group Immm (No. 71)
Unique sites:
Ba: 0.000 0.000 0.000 (multiplicity 2)
Mn: 0.000 0.000 0.500 (multiplicity 2)
Zn: 0.000 0.500 0.190 (multiplicity 4)

Calculated values
DOS at the Fermi energy = 3.12 states/eV/f.u.
Electronic total energy = -0.1162 Ha/atom


No. 5
BaMnZn2: relaxed, GGA-PBE.

a = 7.316 Å, b = 7.316 Å, c = 7.316 Å
α = 90.00°, β = 90.00°, γ = 90.00°
Space group Fm-3m (No. 225)
Unique sites:
Ba: 0.000 0.000 0.000 (multiplicity 4)
Mn: 0.000 0.000 0.500 (multiplicity 4)
Zn: 0.250 0.250 0.250 (multiplicity 8)

Calculated values
DOS at the Fermi energy = 3.80 states/eV/f.u.
Electronic total energy = -0.1151 Ha/atom


No. 6
BaMnZn2: relaxed, GGA-PBE.

a = 7.731 Å, b = 4.464 Å, c = 6.463 Å
α = 90.00°, β = 113.56°, γ = 90.00°
Space group C2/m (No. 12)
Unique sites:
Ba: 0.000 0.000 0.000 (multiplicity 2)
Mn: 0.000 0.500 0.500 (multiplicity 2)
Zn: 0.191 0.000 0.571 (multiplicity 4)

Calculated values
DOS at the Fermi energy = 3.16 states/eV/f.u.
Electronic total energy = -0.1245 Ha/atom


No. 7
BaMnZn2: relaxed, GGA-PBE.

a = 4.545 Å, b = 6.013 Å, c = 7.602 Å
α = 90.00°, β = 90.00°, γ = 90.00°
Space group Imm2 (No. 44)
Unique sites:
Ba: 0.000 0.000 0.000 (multiplicity 2)
Mn: 0.000 0.500 0.172 (multiplicity 2)
Zn: 0.000 0.000 0.498 (multiplicity 2)
Zn: 0.000 0.500 0.823 (multiplicity 2)

Calculated values
DOS at the Fermi energy = 3.22 states/eV/f.u.
Electronic total energy = -0.1144 Ha/atom


No. 8
Ba4MnZn: relaxed, GGA-PBE.

a = 10.357 Å, b = 10.357 Å, c = 10.357 Å
α = 90.00°, β = 90.00°, γ = 90.00°
Space group F-43m (No. 216)
Unique sites:
Ba: 0.125 0.125 0.125 (multiplicity 16)
Mn: 0.250 0.250 0.750 (multiplicity 4)
Zn: 0.000 0.000 0.500 (multiplicity 4)

Calculated values
DOS at the Fermi energy = 10.17 states/eV/f.u.
Electronic total energy = -0.0818 Ha/atom